This record from Alexandria describes a relaxed structure of SrHIr3. The functional is PBE.

Cell: 4.1780 4.1780 4.1780 Å, 90.00 90.00 90.00°
Fractional coordinates of all 5 atoms:
Sr: 0.0000 0.0000 0.0000
H: 0.5000 0.5000 0.5000
Ir: 0.0000 0.5000 0.5000
Ir: 0.5000 0.0000 0.5000
Ir: 0.5000 0.5000 0.0000

Calculated values
The calculation puts the energy above the most stable polymorph in this dataset at 0 meV per atom. Its volume is 14.59 A^3/atom. The value obtained for the total moment is 0.0 μB/cell. The value obtained for the total DFT energy (no corrections) is -29.95 eV/cell.